# PBE-GGA CoRe2Br, optimized geometry
# ΔE to the lowest computed polymorph: 71 meV per atom
# Calculated volume: 15.283 Å³/atom
# Formation energy from raw total energies: 0.61 eV/atom
data_CoRe2Br
_chemical_formula_sum 'Co1 Re2 Br1'
_cell_length_a 8.657
_cell_length_b 8.657
_cell_length_c 8.657
_cell_angle_alpha 19.17
_cell_angle_beta 19.17
_cell_angle_gamma 19.17
_space_group_name_H-M_alt 'P 1'
_space_group_IT_number 1
loop_
_space_group_symop_operation_xyz
'x,y,z'
loop_
_atom_site_label
_atom_site_fract_x
_atom_site_fract_y
_atom_site_fract_z
_atom_site_occupancy
Re1 0.255 0.255 0.255 1
Re2 0.002 0.002 0.002 1
Co1 0.750 0.750 0.750 1
Br1 0.493 0.493 0.493 1